[1]
Density functional theory data (PBE-GGA) for crystalline Cr2Ni2PtRh2 at its relaxed geometry.

Unit cell a=6.3153 b=6.3153 c=6.4263 alpha=117.59 beta=117.59 gamma=24.11
Positions (direct):
Cr: 0.0688 0.0688 0.4237
Cr: 0.9312 0.9312 0.5763
Ni: 0.2377 0.2377 0.3248
Ni: 0.7623 0.7623 0.6752
Pt: 0.5000 0.5000 0.0000
Rh: 0.1473 0.1473 0.8502
Rh: 0.8527 0.8527 0.1498

* electronic total energy: -0.5353 Ry per atom
* symmetry: No. 12
* E_form: 0.082 eV/atom


[2]
Density functional theory data (PBE-GGA) for crystalline CrNi2RuPt at its relaxed geometry.

Unit cell a=4.5746 b=4.5746 c=4.7070 alpha=90.00 beta=90.00 gamma=90.00
Positions (direct):
Cr: 0.0000 0.0000 0.0000
Ni: 0.0000 0.5000 0.5000
Ni: 0.5000 0.0000 0.5000
Ru: 0.5000 0.5000 0.0000
Pt: 0.5000 0.5000 0.5000

* electronic total energy: -0.4273 Ry per atom
* symmetry: No. 123
* E_form: 1.487 eV/atom


[3]
Density functional theory data (PBE-GGA) for crystalline CrNi2RuPt at its relaxed geometry.

Unit cell a=4.4402 b=4.4402 c=4.2722 alpha=90.00 beta=90.00 gamma=90.00
Positions (direct):
Cr: 0.0000 0.0000 0.0000
Ni: 0.0000 0.5000 0.5000
Ni: 0.5000 0.0000 0.5000
Ru: 0.0000 0.0000 0.5000
Pt: 0.5000 0.5000 0.0000

* electronic total energy: -0.4356 Ry per atom
* symmetry: No. 123
* E_form: 1.374 eV/atom


[4]
Density functional theory data (PBE-GGA) for crystalline CrNi2PtS at its relaxed geometry.

Unit cell a=4.0921 b=4.0921 c=4.1751 alpha=90.00 beta=90.00 gamma=90.00
Positions (direct):
Cr: 0.0000 0.0000 0.0000
Ni: 0.0000 0.5000 0.5000
Ni: 0.5000 0.0000 0.5000
Pt: 0.5000 0.5000 0.0000
S: 0.0000 0.0000 0.5000

* electronic total energy: -0.4444 Ry per atom
* formation energy (no corrections): 1.1 eV per formula unit
* symmetry: No. 123


[5]
Density functional theory data (PBE-GGA) for crystalline CrNi7Sb2Pt2 at its relaxed geometry.

Unit cell a=3.5003 b=3.5003 c=13.9533 alpha=97.08 beta=97.08 gamma=90.00
Positions (direct):
Cr: 0.0000 0.0000 0.0000
Ni: 0.0615 0.5616 0.1251
Ni: 0.2700 0.2700 0.5385
Ni: 0.4384 0.9385 0.8749
Ni: 0.5000 0.5000 0.0000
Ni: 0.5616 0.0615 0.1251
Ni: 0.7300 0.7300 0.4615
Ni: 0.9385 0.4384 0.8749
Sb: 0.1766 0.1766 0.3596
Sb: 0.8234 0.8234 0.6404
Pt: 0.3697 0.3697 0.7340
Pt: 0.6303 0.6303 0.2660

* electronic total energy: -0.4351 Ry per atom
* formation energy (no corrections): -0.6 eV per formula unit
* symmetry: No. 12


[6]
Density functional theory data (PBE-GGA) for crystalline CrNiSb2Pt at its relaxed geometry.

Unit cell a=4.8822 b=4.8822 c=4.6830 alpha=90.00 beta=90.00 gamma=90.00
Positions (direct):
Cr: 0.0000 0.0000 0.0000
Ni: 0.5000 0.5000 0.5000
Sb: 0.0000 0.5000 0.0000
Sb: 0.5000 0.0000 0.0000
Pt: 0.0000 0.0000 0.5000

* electronic total energy: -0.3696 Ry per atom
* formation energy (no corrections): 4.5 eV per formula unit
* symmetry: No. 123


[7]
Density functional theory data (PBE-GGA) for crystalline CrSiNiPt2 at its relaxed geometry.

Unit cell a=4.4969 b=4.4969 c=4.1630 alpha=90.00 beta=90.00 gamma=90.00
Positions (direct):
Cr: 0.0000 0.0000 0.0000
Si: 0.5000 0.5000 0.5000
Ni: 0.5000 0.5000 0.0000
Pt: 0.0000 0.5000 0.5000
Pt: 0.5000 0.0000 0.5000

* electronic total energy: -0.4353 Ry per atom
* formation energy (no corrections): 3.3 eV per formula unit
* symmetry: No. 123


[8]
Density functional theory data (PBE-GGA) for crystalline CrSiNi2Pt at its relaxed geometry.

Unit cell a=4.1258 b=4.1258 c=4.2871 alpha=90.00 beta=90.00 gamma=90.00
Positions (direct):
Cr: 0.0000 0.0000 0.0000
Si: 0.0000 0.0000 0.5000
Ni: 0.0000 0.5000 0.5000
Ni: 0.5000 0.0000 0.5000
Pt: 0.5000 0.5000 0.0000

* electronic total energy: -0.4309 Ry per atom
* formation energy (no corrections): 3.3 eV per formula unit
* symmetry: No. 123